1.
Entry from Alexandria via LeMat-Bulk: a relaxed structure of Mo3Rh (PBE-GGA).

The structure in POSCAR format:
```
Mo3Rh
1.0
2.831 -4.903 0.000
2.831 4.903 0.000
0.000 0.000 4.467
Mo Rh
6 2
Direct
0.837 0.674 0.250 Mo
0.163 0.326 0.750 Mo
0.837 0.163 0.250 Mo
0.163 0.837 0.750 Mo
0.674 0.837 0.750 Mo
0.326 0.163 0.250 Mo
0.333 0.667 0.250 Rh
0.667 0.333 0.750 Rh
```

Summary:
Calculated formation energy ... 0.09 eV/atom
VASP energy ... -9.87 eV per atom

***

2.
Entry from Alexandria via LeMat-Bulk: a relaxed structure of MoRh5 (PBE-GGA).

The structure in POSCAR format:
```
MoRh5
1.0
-5.181 -1.467 2.798
6.036 -0.185 0.591
-0.061 3.481 1.712
Rh Mo
5 1
Direct
0.633 0.367 0.000 Rh
0.137 0.863 0.500 Rh
0.807 0.193 0.500 Rh
0.472 0.528 0.500 Rh
0.312 0.688 0.000 Rh
0.972 0.028 0.000 Mo
```

Summary:
Calculated formation energy ... -0.16 eV/atom
VASP energy ... -8.10 eV per atom
Energy relative to the lowest polymorph listed for this composition ... 0.0 kJ per mole of atoms

***

3.
Entry from Alexandria via LeMat-Bulk: a relaxed structure of MoRh (PBE-GGA).

The structure in POSCAR format:
```
MoRh
1.0
-1.982 3.801 -0.937
-0.392 -3.410 -2.733
-3.987 -1.483 2.421
Rh Mo
2 2
Direct
0.667 0.333 0.250 Rh
0.333 0.667 0.750 Rh
0.333 0.667 0.250 Mo
0.667 0.333 0.750 Mo
```

Summary:
Calculated formation energy ... 0.94 eV/atom
VASP energy ... -8.15 eV per atom

***

4.
Entry from Alexandria via LeMat-Bulk: a relaxed structure of Mo5Rh (PBE-GGA).

The structure in POSCAR format:
```
Mo5Rh
1.0
-1.086 -5.270 -0.835
1.570 -5.181 -0.592
-0.496 -2.611 6.373
Mo Rh
5 1
Direct
0.677 0.677 0.667 Mo
0.000 0.000 0.988 Mo
0.604 0.604 0.277 Mo
0.942 0.942 0.629 Mo
0.335 0.335 0.323 Mo
0.276 0.276 0.949 Rh
```

Summary:
Calculated formation energy ... 0.17 eV/atom
VASP energy ... -10.08 eV per atom
Energy relative to the lowest polymorph listed for this composition ... 8.8 kJ per mole of atoms